# 1
Computed, not measured: a geometry-optimized LiNp2PbS4 structure at the PBE-GGA level of DFT.

## Properties
Formation energy from raw total energies   -1.09 eV/atom
DFT total energy   -7.090 eV/atom

Cell lengths 4.007, 12.958, 13.960 Å; angles 90.00, 90.00, 90.00 degrees
Space group Cmcm (No. 63)
Inequivalent atoms, fractional coordinates:
1 Li 0.000 0.158 0.250 (multiplicity 4)
2 Np 0.000 0.368 0.560 (multiplicity 8)
3 Pb 0.000 0.119 0.750 (multiplicity 4)
4 S 0.000 0.000 0.000 (multiplicity 4)
5 S 0.000 0.269 0.114 (multiplicity 8)
6 S 0.000 0.442 0.750 (multiplicity 4)



# 2
Computed, not measured: a geometry-optimized GdPa2Ru structure at the PBE-GGA level of DFT.

## Properties
DFT total energy   -10.649 eV/atom
Relative energy among the computed polymorphs   0 meV/atom

Cell lengths 3.583, 3.583, 7.593 Å; angles 90.00, 90.00, 90.00 degrees
Space group P4/mmm (No. 123)
Inequivalent atoms, fractional coordinates:
1 Gd 0.000 0.000 0.000 (multiplicity 1)
2 Pa 0.500 0.500 0.309 (multiplicity 2)
3 Ru 0.000 0.000 0.500 (multiplicity 1)



# 3
Computed, not measured: a geometry-optimized Y4Ho8Er3 structure at the PBE-GGA level of DFT.

## Properties
DFT total energy   -4.675 eV/atom
Relative energy among the computed polymorphs   267 meV/atom

Cell lengths 13.303, 12.760, 6.711 Å; angles 90.00, 120.25, 90.00 degrees
Space group C2/m (No. 12)
Inequivalent atoms, fractional coordinates:
1 Y 0.000 0.000 0.000 (multiplicity 2)
2 Y 0.000 0.000 0.500 (multiplicity 2)
3 Y 0.250 0.250 0.000 (multiplicity 4)
4 Ho 0.000 0.254 0.000 (multiplicity 4)
5 Ho 0.000 0.360 0.500 (multiplicity 4)
6 Ho 0.229 0.500 0.966 (multiplicity 4)
7 Ho 0.231 0.500 0.490 (multiplicity 4)
8 Er 0.000 0.500 0.000 (multiplicity 2)
9 Er 0.250 0.250 0.500 (multiplicity 4)



# 4
Computed, not measured: a geometry-optimized Pb2WBr structure at the PBE-GGA level of DFT.

## Properties
Formation energy from raw total energies   0.48 eV/atom
DFT total energy   -5.032 eV/atom
Relative energy among the computed polymorphs   0 meV/atom

Cell lengths 3.3466, 3.3466, 30.9239 Å; angles 90.00, 90.00, 120.00 degrees
Space group R3m (No. 160, hexagonal axes)
Inequivalent atoms, fractional coordinates:
1 Pb 0.0000 0.0000 0.0000 (multiplicity 3)
2 Pb 0.0000 0.0000 0.2392 (multiplicity 3)
3 W 0.0000 0.0000 0.7405 (multiplicity 3)
4 Br 0.0000 0.0000 0.4642 (multiplicity 3)



# 5
Computed, not measured: a geometry-optimized TbSm2I structure at the PBE-GGA level of DFT.

## Properties
Formation energy from raw total energies   -0.39 eV/atom
DFT total energy   -4.300 eV/atom
Relative energy among the computed polymorphs   0 meV/atom

Cell lengths 3.7715, 3.7715, 32.0104 Å; angles 90.00, 90.00, 120.00 degrees
Space group R3m (No. 160, hexagonal axes)
Inequivalent atoms, fractional coordinates:
1 Tb 0.0000 0.0000 0.0000 (multiplicity 3)
2 Sm 0.0000 0.0000 0.4225 (multiplicity 3)
3 Sm 0.0000 0.0000 0.5770 (multiplicity 3)
4 I 0.0000 0.0000 0.8328 (multiplicity 3)



# 6
Computed, not measured: a geometry-optimized CaOs2Se structure at the PBE-GGA level of DFT.

## Properties
Formation energy from raw total energies   0.51 eV/atom
DFT total energy   -6.481 eV/atom

Cell lengths 3.790, 3.790, 4.967 Å; angles 90.00, 90.00, 90.00 degrees
Space group P4/mmm (No. 123)
Inequivalent atoms, fractional coordinates:
1 Ca 0.000 0.000 0.000 (multiplicity 1)
2 Os 0.000 0.500 0.500 (multiplicity 2)
3 Se 0.500 0.500 0.000 (multiplicity 1)